Here is an optimized crystal structure of CrCo2Rh9 from Alexandria. Energies are from GGA-PBE.

Values from the calculation:
**Space-group type**: No. 123
**Crystal system**: tetragonal
**Raw total energy**: -7.50 eV per atom

The structure in CIF format:
```
data_CrCo2Rh9
_cell_length_a 3.7873
_cell_length_b 3.7873
_cell_length_c 11.3564
_cell_angle_alpha 90.00
_cell_angle_beta 90.00
_cell_angle_gamma 90.00
_symmetry_space_group_name_H-M 'P 1'
_symmetry_Int_Tables_number 1
loop_
_symmetry_equiv_pos_as_xyz
'x,y,z'
loop_
_atom_site_label
_atom_site_fract_x
_atom_site_fract_y
_atom_site_fract_z
_atom_site_occupancy
Cr1 0.0000 0.0000 0.0000 1
Co1 0.0000 0.0000 0.3344 1
Co2 0.0000 0.0000 0.6656 1
Rh1 0.0000 0.5000 0.1653 1
Rh2 0.0000 0.5000 0.5000 1
Rh3 0.0000 0.5000 0.8347 1
Rh4 0.5000 0.0000 0.1653 1
Rh5 0.5000 0.0000 0.5000 1
Rh6 0.5000 0.0000 0.8347 1
Rh7 0.5000 0.5000 0.0000 1
Rh8 0.5000 0.5000 0.3327 1
Rh9 0.5000 0.5000 0.6673 1
```

Here is an optimized crystal structure of Lu2PuTl from Alexandria. Energies are from GGA-PBE.

Values from the calculation:
**Space-group type**: No. 225
**Relative energy among the computed polymorphs**: 154 meV per atom
**Crystal system**: cubic

The structure in CIF format:
```
data_Lu2PuTl
_cell_length_a 5.3440
_cell_length_b 5.3440
_cell_length_c 5.3440
_cell_angle_alpha 60.00
_cell_angle_beta 60.00
_cell_angle_gamma 60.00
_symmetry_space_group_name_H-M 'P 1'
_symmetry_Int_Tables_number 1
loop_
_symmetry_equiv_pos_as_xyz
'x,y,z'
loop_
_atom_site_label
_atom_site_fract_x
_atom_site_fract_y
_atom_site_fract_z
_atom_site_occupancy
Lu1 0.2500 0.2500 0.2500 1
Lu2 0.7500 0.7500 0.7500 1
Pu1 0.0000 0.0000 0.0000 1
Tl1 0.5000 0.5000 0.5000 1
```